[1]
MgCoRu2, relaxed, DFT PBE; N(E_F) = 4.3 states/eV/cell; energy of formation = 0.9 eV per formula unit; total moment = 1.5 μB/cell
1.0
8.8388 -0.0026 -0.0015
8.4153 2.7032 -0.0015
8.4153 1.3171 2.3605
Ru Co Mg
2 1 1
Direct
0.9960 0.9960 0.9960
0.2482 0.2482 0.2482
0.5035 0.5035 0.5035
0.7522 0.7522 0.7522


[2]
PaAs3O9, relaxed, DFT PBE; N(E_F) = 0.0 states/eV/cell; total moment = 0.0 μB/cell; E = -182.32 eV for the cell shown
1.0
-5.8646 -0.5029 5.1700
1.8951 -1.7795 7.9124
-1.1731 7.5713 5.3415
As O Pa
6 18 2
Direct
0.2260 0.4792 0.3333
0.9603 0.0189 0.1700
0.9615 0.9792 0.8333
0.8507 0.5189 0.6700
0.4817 0.7410 0.2235
0.5537 0.2410 0.7235
0.4434 0.5243 0.2862
0.7432 0.6453 0.1496
0.9290 0.5299 0.8231
0.6516 0.7414 0.6447
0.4618 0.1453 0.6496
0.0674 0.7469 0.8902
0.9623 0.2414 0.1447
0.6505 0.3925 0.5938
0.1446 0.5381 0.1738
0.4313 0.8179 0.3927
0.8649 0.1034 0.9839
0.3581 0.3179 0.8927
0.1436 0.0381 0.6738
0.7461 0.0243 0.7862
0.0477 0.6034 0.4839
0.2955 0.2469 0.3902
0.3631 0.8925 0.0938
0.7180 0.0299 0.3231
0.0370 0.4785 0.0130
0.4715 0.9785 0.5130


[3]
BePdW, relaxed, DFT PBE; N(E_F) = 2.6 states/eV/cell; energy of formation = -0.6 eV per formula unit; total moment = 0.0 μB/cell
1.0
-8.4513 -5.8001 1.2138
0.5479 -0.2406 2.6801
-1.4787 2.2584 0.5051
Be Pd W
2 2 2
Direct
0.5364 0.4048 0.6670
0.2575 0.4055 0.6672
0.3987 0.9046 0.1674
0.1170 0.9048 0.1682
0.9159 0.4049 0.6688
0.6976 0.9038 0.1672